A relaxed HoZrAlRh crystal, computed with PBE-GGA.

The calculated density is 7.9 g cm⁻³. Its formation energy is -46 kJ per mole of atoms. As for the space group: No. 216.

Unit cell a=4.8512 b=4.8512 c=4.8512 alpha=60.00 beta=60.00 gamma=60.00
With the nearest neighbours (Å) after each atom.
Positions (direct):
Ho 0.0000 0.0000 0.0000  4 Rh 2.97, 4 Al 2.97
Zr 0.5000 0.5000 0.5000  4 Rh 2.97, 4 Al 2.97
Al 0.2500 0.2500 0.2500  4 Zr 2.97, 4 Ho 2.97
Rh 0.7500 0.7500 0.7500  4 Ho 2.97, 4 Zr 2.97

---

A relaxed LiFe4Re crystal, computed with PBE-GGA.

The calculated density is 9.6 g cm⁻³. Its formation energy is 17 kJ per mole of atoms. As for the space group: No. 216.

Unit cell a=4.6638 b=4.6638 c=4.6638 alpha=60.00 beta=60.00 gamma=60.00
With the nearest neighbours (Å) after each atom.
Positions (direct):
Li 0.0000 0.0000 0.0000  12 Fe 2.73, 4 Re 2.86
Fe 0.1252 0.6249 0.6249  6 Fe 2.33
Fe 0.6249 0.1252 0.6249  6 Fe 2.33
Fe 0.6249 0.6249 0.1252  6 Fe 2.33
Fe 0.6249 0.6249 0.6249  6 Fe 2.33
Re 0.2500 0.2500 0.2500  12 Fe 2.73, 4 Li 2.86

---

A relaxed InFe2Ag crystal, computed with PBE-GGA.

The calculated density is 8.8 g cm⁻³. Its formation energy is 28 kJ per mole of atoms. As for the space group: No. 71.

Unit cell a=4.9789 b=4.9789 c=4.9789 alpha=134.17 beta=133.86 gamma=67.06
With the nearest neighbours (Å) after each atom.
Positions (direct):
In 0.0000 0.0000 0.0000  4 Ag 2.75, 8 Fe 2.84-2.85
Fe 0.2500 0.7500 0.5000  4 Fe 2.75, 4 In 2.84-2.85, 4 Ag 2.84-2.85
Fe 0.7500 0.2500 0.5000  4 Fe 2.75, 4 In 2.84-2.85, 4 Ag 2.84-2.85
Ag 0.5000 0.5000 0.0000  4 In 2.75, 8 Fe 2.84-2.85

---

A relaxed Ho8PC3Se3 crystal, computed with PBE-GGA.

The calculated density is 8.4 g cm⁻³. Its energy is -6.490 eV per atom. As for the space group: No. 166.

Unit cell a=7.8034 b=7.8034 c=7.8034 alpha=57.99 beta=57.99 gamma=57.99
With the nearest neighbours (Å) after each atom.
Positions (direct):
Ho 0.2151 0.7497 0.7497  2 C 2.53, 1 P 2.72
Ho 0.2345 0.2345 0.2345  3 C 2.55
Ho 0.2503 0.2503 0.7849  2 C 2.53, 1 P 2.72
Ho 0.2503 0.7849 0.2503  2 C 2.53, 1 P 2.72
Ho 0.7497 0.2151 0.7497  2 C 2.53, 1 P 2.72
Ho 0.7497 0.7497 0.2151  2 C 2.53, 1 P 2.72
Ho 0.7655 0.7655 0.7655  3 C 2.55
Ho 0.7849 0.2503 0.2503  2 C 2.53, 1 P 2.72
P 0.5000 0.5000 0.5000  6 Ho 2.72
C 0.0000 0.0000 0.5000  6 Ho 2.53-2.55
C 0.0000 0.5000 0.0000  6 Ho 2.53-2.55
C 0.5000 0.0000 0.0000  6 Ho 2.53-2.55
Se 0.0000 0.5000 0.5000  6 Ho 2.91-2.92
Se 0.5000 0.0000 0.5000  6 Ho 2.91-2.92
Se 0.5000 0.5000 0.0000  6 Ho 2.91-2.92

---

A relaxed Ta2FeTe crystal, computed with PBE-GGA.

The calculated density is 13.1 g cm⁻³. Its energy is -8.325 eV per atom. As for the space group: No. 216.

Unit cell a=4.6019 b=4.6019 c=4.6019 alpha=60.00 beta=60.00 gamma=60.00
With the nearest neighbours (Å) after each atom.
Positions (direct):
Ta 0.0000 0.0000 0.0000  4 Ta 2.82, 4 Te 2.82
Ta 0.2500 0.2500 0.2500  4 Ta 2.82, 4 Fe 2.82
Fe 0.5000 0.5000 0.5000  4 Ta 2.82, 4 Te 2.82
Te 0.7500 0.7500 0.7500  4 Ta 2.82, 4 Fe 2.82

---

A relaxed Ca2Ga2As crystal, computed with PBE-GGA.

The calculated density is 4.1 g cm⁻³. Its formation energy is -48 kJ per mole of atoms. As for the space group: No. 127.

Unit cell a=7.2133 b=7.2133 c=4.5776 alpha=90.00 beta=90.00 gamma=90.00
With the nearest neighbours (Å) after each atom.
Positions (direct):
Ca 0.1743 0.3257 0.0000  6 Ga 3.06-3.17
Ca 0.3257 0.8257 0.0000  6 Ga 3.06-3.17
Ca 0.6743 0.1743 0.0000  6 Ga 3.06-3.17
Ca 0.8257 0.6743 0.0000  6 Ga 3.06-3.17
Ga 0.1267 0.6267 0.5000  1 Ga 2.58, 2 As 2.84
Ga 0.3733 0.1267 0.5000  1 Ga 2.58, 2 As 2.84
Ga 0.6267 0.8733 0.5000  1 Ga 2.58, 2 As 2.84
Ga 0.8733 0.3733 0.5000  1 Ga 2.58, 2 As 2.84
As 0.0000 0.0000 0.5000  4 Ga 2.84
As 0.5000 0.5000 0.5000  4 Ga 2.84